No. 1
Computed, not measured: a relaxed InFe3N5 crystal at the PBE level of DFT.

CIF file:
```
data_InFe3N5
_chemical_formula_sum 'In1 Fe3 N5'
_cell_length_a 5.0634
_cell_length_b 5.0634
_cell_length_c 3.9761
_cell_angle_alpha 90.00
_cell_angle_beta 90.00
_cell_angle_gamma 120.00
_space_group_name_H-M_alt 'P 6/m m m'
_space_group_IT_number 191
_space_group_name_Hall '-P 6 2'
loop_
_atom_site_label
_atom_site_type_symbol
_atom_site_fract_x
_atom_site_fract_y
_atom_site_fract_z
In1 In 0.0000 0.0000 0.0000
Fe1 Fe 0.0000 0.5000 0.5000
N1 N 0.0000 0.0000 0.5000
N2 N 0.3333 0.6667 0.1660
```

---

No. 2
Computed, not measured: a relaxed LuZnPd crystal at the PBE level of DFT.

CIF file:
```
data_LuZnPd
_chemical_formula_sum 'Lu4 Zn4 Pd4'
_cell_length_a 6.3721
_cell_length_b 6.3721
_cell_length_c 6.3721
_cell_angle_alpha 90.00
_cell_angle_beta 90.00
_cell_angle_gamma 90.00
_space_group_name_H-M_alt 'F -4 3 m'
_space_group_IT_number 216
_space_group_name_Hall 'F -4 2 3'
loop_
_atom_site_label
_atom_site_type_symbol
_atom_site_fract_x
_atom_site_fract_y
_atom_site_fract_z
Lu1 Lu 0.0000 0.0000 0.0000
Zn1 Zn 0.0000 0.0000 0.5000
Pd1 Pd 0.2500 0.2500 0.2500
```

Computed properties:
relative energy among the computed polymorphs: 174 meV/atom
ΔH_f (0 K): -1.78 eV/f.u.

---

No. 3
Computed, not measured: a relaxed CdSnHgSe3 crystal at the PBE level of DFT.

CIF file:
```
data_CdSnHgSe3
_chemical_formula_sum 'Cd4 Sn4 Hg4 Se12'
_cell_length_a 4.0707
_cell_length_b 13.6627
_cell_length_c 11.3100
_cell_angle_alpha 90.00
_cell_angle_beta 90.00
_cell_angle_gamma 90.00
_space_group_name_H-M_alt 'C m c m'
_space_group_IT_number 63
_space_group_name_Hall '-C 2c 2'
loop_
_atom_site_label
_atom_site_type_symbol
_atom_site_fract_x
_atom_site_fract_y
_atom_site_fract_z
Cd1 Cd 0.0000 0.0000 0.0000
Sn1 Sn 0.0000 0.2306 0.2500
Hg1 Hg 0.0000 0.4808 0.7500
Se1 Se 0.0000 0.1139 0.7500
Se2 Se 0.0000 0.3633 0.5624
```

Computed properties:
relative energy among the computed polymorphs: 13 meV/atom

---

No. 4
Computed, not measured: a relaxed La2SmCu4Sn4 crystal at the PBE level of DFT.

CIF file:
```
data_La2SmCu4Sn4
_chemical_formula_sum 'La4 Sm2 Cu8 Sn8'
_cell_length_a 4.6442
_cell_length_b 6.9703
_cell_length_c 15.1720
_cell_angle_alpha 90.00
_cell_angle_beta 90.00
_cell_angle_gamma 90.00
_space_group_name_H-M_alt 'I m m m'
_space_group_IT_number 71
_space_group_name_Hall '-I 2 2'
loop_
_atom_site_label
_atom_site_type_symbol
_atom_site_fract_x
_atom_site_fract_y
_atom_site_fract_z
La1 La 0.0000 0.0000 0.1340
Sm1 Sm 0.0000 0.5000 0.0000
Cu1 Cu 0.0000 0.1831 0.3322
Sn1 Sn 0.0000 0.2956 0.5000
Sn2 Sn 0.0000 0.5000 0.2149
```

---

| no. | electronic total energy (eV/cell) | calculated volume (A^3/atom) |
| --- | --- | --- |
| 1 | -64.51 | 9.8 |
| 2 | -50.96 | 21.6 |
| 3 | -68.14 | 26.2 |
| 4 | -103.00 | 22.3 |